(1)
Entry from Alexandria via LeMat-Bulk: Sr2TaP after structural relaxation (PBE).

abc: 4.142 6.483 6.483
angles: 43.89 90.00 90.00
Fractional coordinates of all 4 atoms:
Sr 0.000 0.000 0.000
Sr 0.500 0.293 0.293
Ta 0.000 0.696 0.696
P 0.500 0.587 0.587

Total DFT energy (no corrections) ... -20.65 eV per cell
Formation energy ... -0.03 eV/f.u.

(2)
Entry from Alexandria via LeMat-Bulk: SrTaP2 after structural relaxation (PBE).

abc: 5.469 5.469 5.469
angles: 141.05 109.04 84.04
Fractional coordinates of all 4 atoms:
Sr 0.000 0.000 0.000
Ta 0.500 0.500 0.000
P 0.293 0.793 0.500
P 0.707 0.207 0.500

Total DFT energy (no corrections) ... -25.52 eV per cell
E above lowest polymorph ... 542 meV per atom
Formation energy ... -1.17 eV/f.u.

(3)
Entry from Alexandria via LeMat-Bulk: SrTaP2 after structural relaxation (PBE).

abc: 3.693 3.693 6.943
angles: 90.00 90.00 90.00
Fractional coordinates of all 4 atoms:
Sr 0.000 0.000 0.000
Ta 0.500 0.500 0.501
P 0.000 0.000 0.444
P 0.500 0.500 0.831

Total DFT energy (no corrections) ... -26.04 eV per cell
E above lowest polymorph ... 412 meV per atom
Formation energy ... -1.69 eV/f.u.

(4)
Entry from Alexandria via LeMat-Bulk: Sr2TaP after structural relaxation (PBE).

abc: 5.146 5.146 5.146
angles: 60.00 60.00 60.00
Fractional coordinates of all 4 atoms:
Sr 0.000 0.000 0.000
Sr 0.250 0.250 0.250
Ta 0.750 0.750 0.750
P 0.500 0.500 0.500

Total DFT energy (no corrections) ... -17.56 eV per cell
Formation energy ... 3.06 eV/f.u.

(5)
Entry from Alexandria via LeMat-Bulk: SrTaP2 after structural relaxation (PBE).

abc: 5.101 5.101 3.151
angles: 101.27 101.27 91.75
Fractional coordinates of all 4 atoms:
Sr 0.000 0.000 0.000
Ta 0.500 0.500 0.000
P 0.000 0.500 0.500
P 0.500 0.000 0.500

Total DFT energy (no corrections) ... -24.67 eV per cell
E above lowest polymorph ... 755 meV per atom
Formation energy ... -0.32 eV/f.u.

(6)
Entry from Alexandria via LeMat-Bulk: SrTaP after structural relaxation (PBE).

abc: 4.263 4.263 4.885
angles: 90.00 90.00 120.00
Fractional coordinates of all 3 atoms:
Sr 0.000 0.000 0.000
Ta 0.667 0.333 0.500
P 0.333 0.667 0.500

Total DFT energy (no corrections) ... -19.22 eV per cell
Formation energy ... -0.27 eV/f.u.

(7)
Entry from Alexandria via LeMat-Bulk: Sr2TaP after structural relaxation (PBE).

abc: 4.051 4.051 6.455
angles: 90.00 90.00 90.00
Fractional coordinates of all 4 atoms:
Sr 0.000 0.000 0.229
Sr 0.000 0.000 0.771
Ta 0.500 0.500 0.500
P 0.500 0.500 0.000

Total DFT energy (no corrections) ... -18.88 eV per cell
Formation energy ... 1.75 eV/f.u.

(8)
Entry from Alexandria via LeMat-Bulk: SrTaP after structural relaxation (PBE).

abc: 4.970 4.970 4.970
angles: 60.00 60.00 60.00
Fractional coordinates of all 3 atoms:
Sr 0.000 0.000 0.000
Ta 0.250 0.250 0.250
P 0.750 0.750 0.750

Total DFT energy (no corrections) ... -14.37 eV per cell
Formation energy ... 4.57 eV/f.u.

(9)
Entry from Alexandria via LeMat-Bulk: Sr2TaP after structural relaxation (PBE).

abc: 6.296 6.296 5.694
angles: 114.07 114.07 33.69
Fractional coordinates of all 4 atoms:
Sr 0.000 0.000 0.000
Sr 0.184 0.184 0.659
Ta 0.380 0.380 0.383
P 0.742 0.742 0.175

Total DFT energy (no corrections) ... -20.67 eV per cell
Formation energy ... -0.04 eV/f.u.

(10)
Entry from Alexandria via LeMat-Bulk: Sr2TaP after structural relaxation (PBE).

abc: 9.514 9.514 9.514
angles: 158.60 157.61 31.17
Fractional coordinates of all 4 atoms:
Sr 0.153 0.153 0.000
Sr 0.847 0.847 0.000
Ta 0.500 0.000 0.500
P 0.000 0.500 0.500

Total DFT energy (no corrections) ... -20.93 eV per cell
Formation energy ... -0.31 eV/f.u.

(11)
Entry from Alexandria via LeMat-Bulk: Sr2TaP after structural relaxation (PBE).

abc: 3.929 3.929 9.839
angles: 96.02 96.02 46.99
Fractional coordinates of all 4 atoms:
Sr 0.237 0.237 0.208
Sr 0.763 0.763 0.792
Ta 0.000 0.000 0.500
P 0.500 0.500 0.000

Total DFT energy (no corrections) ... -18.68 eV per cell
Formation energy ... 1.94 eV/f.u.

(12)
Entry from Alexandria via LeMat-Bulk: Sr2TaP after structural relaxation (PBE).

abc: 10.337 10.337 10.337
angles: 19.63 19.63 19.63
Fractional coordinates of all 4 atoms:
Sr 0.239 0.239 0.239
Sr 0.761 0.761 0.761
Ta 0.000 0.000 0.000
P 0.500 0.500 0.500

Total DFT energy (no corrections) ... -18.48 eV per cell
Formation energy ... 2.14 eV/f.u.

Repeat the sixth record exactly.
Entry from Alexandria via LeMat-Bulk: SrTaP after structural relaxation (PBE).

abc: 4.263 4.263 4.885
angles: 90.00 90.00 120.00
Fractional coordinates of all 3 atoms:
Sr 0.000 0.000 0.000
Ta 0.667 0.333 0.500
P 0.333 0.667 0.500

Total DFT energy (no corrections) ... -19.22 eV per cell
Formation energy ... -0.27 eV/f.u.

Question: Which of these has the highest formation energy?
Answer: number 8